A relaxed structure of AcZn4Bi, computed with GGA-PBE.

Lattice parameters (Å, degrees): 5.7988 5.7988 5.7988 60.00 60.00 60.00
Last column: nearest neighbours and their distance in Å.
Positions (direct):
Zn 0.6231 0.6231 0.1307  6 Zn 2.86-2.94
Zn 0.6231 0.1307 0.6231  6 Zn 2.86-2.94
Zn 0.6231 0.6231 0.6231  6 Zn 2.86-2.94
Zn 0.1307 0.6231 0.6231  6 Zn 2.86-2.94
Ac 0.0000 0.0000 0.0000  12 Zn 3.40, 4 Bi 3.55
Bi 0.2500 0.2500 0.2500  12 Zn 3.40, 4 Ac 3.55

Values from the calculation:
energy	-13.776	eV/f.u.
DFT formation energy	-0.12	eV/atom

A relaxed structure of AcZnBi2, computed with GGA-PBE.

Lattice parameters (Å, degrees): 5.6370 5.6370 5.6370 60.00 60.00 60.00
Last column: nearest neighbours and their distance in Å.
Positions (direct):
Zn 0.5000 0.5000 0.5000  8 Bi 3.45
Ac 0.0000 0.0000 0.0000  8 Bi 3.45
Bi 0.2500 0.2500 0.2500  4 Ac 3.45, 4 Zn 3.45
Bi 0.7500 0.7500 0.7500  4 Ac 3.45, 4 Zn 3.45

Values from the calculation:
energy	-13.721	eV/f.u.
DFT formation energy	-0.14	eV/atom

A relaxed structure of Ac3ZnBi, computed with GGA-PBE.

Lattice parameters (Å, degrees): 5.9107 5.9107 5.9107 90.00 90.00 90.00
Last column: nearest neighbours and their distance in Å.
Positions (direct):
Zn 0.0000 0.0000 0.0000  6 Ac 2.96
Ac 0.0000 0.5000 0.0000  2 Zn 2.96
Ac 0.0000 0.0000 0.5000  2 Zn 2.96
Ac 0.5000 0.0000 0.0000  2 Zn 2.96
Bi 0.5000 0.5000 0.5000  12 Ac 4.18

Values from the calculation:
energy	-18.132	eV/f.u.
DFT formation energy	-0.13	eV/atom